# GaNiAuO4 (PBE+U, optimized geometry)
data_GaNiAuO4
_chemical_formula_sum 'Ga4 Ni4 Au4 O16'
_cell_length_a 5.899
_cell_length_b 5.976
_cell_length_c 9.857
_cell_angle_alpha 90.00
_cell_angle_beta 90.00
_cell_angle_gamma 90.00
_symmetry_space_group_name_H-M 'I m m a'
_symmetry_Int_Tables_number 74
_symmetry_space_group_name_Hall '-I 2b 2'
loop_
_atom_site_label
_atom_site_fract_x
_atom_site_fract_y
_atom_site_fract_z
Ga1 0.250 0.250 0.250
Ni1 0.000 0.250 0.626
Au1 0.000 0.000 0.000
O1 0.000 0.031 0.274
O2 0.233 0.250 0.026
# - Raw total energy: -4.884 eV/atom
# - M_tot: 8.040 μB per cell